1.
Below is an optimized crystal structure of Nd5CdAu4, with properties calculated at the PBE level.

Summary:
- SG: P4/mmm (123)

Cell: 3.739 3.739 18.776 Å, 90.00 90.00 90.00°
Positions (direct):
Nd  0.500  0.500  0.500
Nd  0.500  0.500  0.303
Nd  0.500  0.500  0.892
Nd  0.500  0.500  0.697
Nd  0.500  0.500  0.108
Au  0.000  0.000  0.402
Au  0.000  0.000  0.598
Au  0.000  0.000  0.798
Au  0.000  0.000  0.202
Cd  0.000  0.000  0.000



2.
Below is an optimized crystal structure of NdCd5Au, with properties calculated at the PBE level.

Summary:
- SG: P4/mmm (123)

Cell: 4.859 4.859 7.310 Å, 90.00 90.00 90.00°
Positions (direct):
Cd  0.500  0.000  0.291
Cd  0.000  0.500  0.291
Cd  0.500  0.000  0.709
Cd  0.000  0.500  0.709
Cd  0.500  0.500  0.000
Au  0.000  0.000  0.500
Nd  0.000  0.000  0.000



3.
Below is an optimized crystal structure of NdCdAu6, with properties calculated at the PBE level.

Summary:
- SG: Pm-3 (200)

Cell: 5.482 5.482 5.482 Å, 90.00 90.00 90.00°
Positions (direct):
Nd  0.500  0.500  0.500
Au  0.247  0.000  0.500
Au  0.500  0.247  0.000
Au  0.000  0.500  0.247
Au  0.000  0.500  0.753
Au  0.500  0.753  0.000
Au  0.753  0.000  0.500
Cd  0.000  0.000  0.000



4.
Below is an optimized crystal structure of NdCd8Au4, with properties calculated at the PBE level.

Summary:
- SG: I4/mmm (139)

Cell: 5.658 7.577 7.577 Å, 81.99 68.08 68.08°
Positions (direct):
Nd  0.000  0.000  0.000
Cd  0.000  0.348  0.652
Cd  0.652  0.348  0.348
Cd  0.500  0.788  0.212
Cd  0.288  0.212  0.212
Cd  0.712  0.788  0.788
Cd  0.500  0.212  0.788
Cd  0.348  0.652  0.652
Cd  0.000  0.652  0.348
Au  0.000  0.000  0.500
Au  0.000  0.500  0.000
Au  0.500  0.000  0.500
Au  0.500  0.500  0.000



Number 1: DFT formation energy -675.7 meV/atom. Number 2: DFT formation energy -266.7 meV/atom. Number 3: DFT formation energy -326.8 meV/atom. Number 4: DFT formation energy -241.0 meV/atom.